(1)
# Li2TaHSe

A geometry-optimized Li2TaHSe structure (PBE, Alexandria via LeMat-Bulk).

Cell: 3.8985 3.8985 4.0511 Å, 90.00 90.00 90.00°
Fractional positions:
Li (0.0000, 0.5000, 0.0000)
Li (0.5000, 0.0000, 0.0000)
Ta (0.0000, 0.0000, 0.5000)
H (0.0000, 0.0000, 0.0000)
Se (0.5000, 0.5000, 0.5000)

Space group: No. 123
Crystal system: tetragonal
DFT total energy: -22.92 eV per formula unit

***

(2)
# LiTc3

A geometry-optimized LiTc3 structure (PBE, Alexandria via LeMat-Bulk).

Cell: 5.0091 5.0091 5.0091 Å, 144.60 129.10 63.53°
Fractional positions:
Li (0.0000, 0.0000, 0.0000)
Tc (0.2582, 0.7582, 0.5000)
Tc (0.5000, 0.5000, 0.0000)
Tc (0.7418, 0.2418, 0.5000)

Space group: No. 71
Crystal system: orthorhombic
Energy above the lowest structure with this stoichiometry: 56 meV per atom
Energy relative to the elements: 19.8 kJ/mol of atoms

***

(3)
# LaYHo5Th2

A geometry-optimized LaYHo5Th2 structure (PBE, Alexandria via LeMat-Bulk).

Cell: 9.8680 9.8680 9.8680 Å, 126.25 126.25 79.47°
Fractional positions:
La (0.2500, 0.2500, 0.0000)
La (0.7500, 0.7500, 0.0000)
Y (0.2500, 0.7500, 0.5000)
Y (0.7500, 0.2500, 0.5000)
Ho (0.0000, 0.0000, 0.0000)
Ho (0.0715, 0.5715, 0.9143)
Ho (0.1571, 0.0715, 0.5000)
Ho (0.3429, 0.8429, 0.9143)
Ho (0.4285, 0.3429, 0.5000)
Ho (0.5000, 0.5000, 0.0000)
Ho (0.5715, 0.6571, 0.5000)
Ho (0.6571, 0.1571, 0.0857)
Ho (0.8429, 0.9285, 0.5000)
Ho (0.9285, 0.4285, 0.0857)
Th (0.1186, 0.3814, 0.5000)
Th (0.3814, 0.8814, 0.2629)
Th (0.6186, 0.1186, 0.7371)
Th (0.8814, 0.6186, 0.5000)

Space group: No. 140
Crystal system: tetragonal
Energy relative to the elements: 31.5 kJ/mol of atoms

***

(4)
# La2ZrCdN

A geometry-optimized La2ZrCdN structure (PBE, Alexandria via LeMat-Bulk).

Cell: 5.2816 5.2816 4.3951 Å, 90.00 90.00 90.00°
Fractional positions:
La (0.0000, 0.5000, 0.0000)
La (0.5000, 0.0000, 0.0000)
Zr (0.0000, 0.0000, 0.5000)
Cd (0.5000, 0.5000, 0.5000)
N (0.0000, 0.0000, 0.0000)

Space group: No. 123
Crystal system: tetragonal
Formation energy (no corrections): -0.684 eV/atom

***

(5)
# VCrPBr

A geometry-optimized VCrPBr structure (PBE, Alexandria via LeMat-Bulk).

Cell: 3.4963 3.3013 6.4915 Å, 90.00 90.18 90.00°
Fractional positions:
V (0.0000, 0.0000, 0.0000)
Cr (0.9988, 0.5000, 0.6984)
P (0.4999, 0.5000, 0.9275)
Br (0.0060, 0.0000, 0.4015)

Space group: No. 6
Crystal system: monoclinic
Energy above the lowest structure with this stoichiometry: 85 meV per atom
Formation energy (no corrections): -0.228 eV/atom

***

(6)
# Tb12Pm3Cd

A geometry-optimized Tb12Pm3Cd structure (PBE, Alexandria via LeMat-Bulk).

Cell: 5.0057 5.0057 20.2001 Å, 90.00 90.00 90.00°
Fractional positions:
Tb (0.0000, 0.0000, 0.0000)
Tb (0.0000, 0.0000, 0.2434)
Tb (0.0000, 0.0000, 0.5000)
Tb (0.0000, 0.0000, 0.7566)
Tb (0.0000, 0.5000, 0.1202)
Tb (0.0000, 0.5000, 0.3730)
Tb (0.0000, 0.5000, 0.6270)
Tb (0.0000, 0.5000, 0.8798)
Tb (0.5000, 0.0000, 0.1202)
Tb (0.5000, 0.0000, 0.3730)
Tb (0.5000, 0.0000, 0.6270)
Tb (0.5000, 0.0000, 0.8798)
Pm (0.5000, 0.5000, 0.2470)
Pm (0.5000, 0.5000, 0.5000)
Pm (0.5000, 0.5000, 0.7530)
Cd (0.5000, 0.5000, 0.0000)

Space group: No. 123
Crystal system: tetragonal
Energy relative to the elements: -0.4 kJ/mol of atoms

***

Let's list density of states at the Fermi level in order: 2.9, 3.5, 26.5, 4.6, 2.8, 20.9 states/eV per cell.